No. 1
# TlGe3H, optimized geometry, DFT PBE
data_TlGe3H
_chemical_formula_sum 'Tl1 Ge3 H1'
_cell_length_a 4.525
_cell_length_b 4.525
_cell_length_c 4.525
_cell_angle_alpha 90.00
_cell_angle_beta 90.00
_cell_angle_gamma 90.00
_symmetry_space_group_name_H-M 'P 1'
_symmetry_Int_Tables_number 1
loop_
_symmetry_equiv_pos_as_xyz
'x,y,z'
loop_
_atom_site_label
_atom_site_type_symbol
_atom_site_fract_x
_atom_site_fract_y
_atom_site_fract_z
Ge1 Ge 0.500 0.000 0.000
Ge2 Ge 0.000 0.000 0.500
Ge3 Ge 0.000 0.500 0.000
Tl1 Tl 0.500 0.500 0.500
H1 H 0.000 0.000 0.000
# Relative energy among the computed polymorphs = 0.0000 eV per atom
# Calculated volume = 92.6 Å³ per cell


No. 2
# TlGeH, optimized geometry, DFT PBE
data_TlGeH
_chemical_formula_sum 'Tl4 Ge4 H4'
_cell_length_a 7.291
_cell_length_b 6.403
_cell_length_c 5.372
_cell_angle_alpha 90.00
_cell_angle_beta 90.00
_cell_angle_gamma 90.00
_symmetry_space_group_name_H-M 'P 1'
_symmetry_Int_Tables_number 1
loop_
_symmetry_equiv_pos_as_xyz
'x,y,z'
loop_
_atom_site_label
_atom_site_type_symbol
_atom_site_fract_x
_atom_site_fract_y
_atom_site_fract_z
Ge1 Ge 0.006 0.750 0.500
Ge2 Ge 0.994 0.250 0.500
Ge3 Ge 0.494 0.250 0.000
Ge4 Ge 0.506 0.750 0.000
H1 H 0.217 0.250 0.500
H2 H 0.717 0.250 0.000
H3 H 0.283 0.750 0.000
H4 H 0.783 0.750 0.500
Tl1 Tl 0.000 0.500 0.000
Tl2 Tl 0.000 0.000 0.000
Tl3 Tl 0.500 0.000 0.500
Tl4 Tl 0.500 0.500 0.500
# Relative energy among the computed polymorphs = 0.1074 eV per atom
# Calculated volume = 250.8 Å³ per cell


No. 3
# TlGeH3, optimized geometry, DFT PBE
data_TlGeH3
_chemical_formula_sum 'Tl1 Ge1 H3'
_cell_length_a 4.010
_cell_length_b 4.010
_cell_length_c 4.010
_cell_angle_alpha 90.00
_cell_angle_beta 90.00
_cell_angle_gamma 90.00
_symmetry_space_group_name_H-M 'P 1'
_symmetry_Int_Tables_number 1
loop_
_symmetry_equiv_pos_as_xyz
'x,y,z'
loop_
_atom_site_label
_atom_site_type_symbol
_atom_site_fract_x
_atom_site_fract_y
_atom_site_fract_z
H1 H 0.000 0.000 0.500
H2 H 0.000 0.500 0.000
H3 H 0.500 0.000 0.000
Ge1 Ge 0.000 0.000 0.000
Tl1 Tl 0.500 0.500 0.500
# Relative energy among the computed polymorphs = 0.0000 eV per atom
# Calculated volume = 64.5 Å³ per cell


No. 4
# TlGeH, optimized geometry, DFT PBE
data_TlGeH
_chemical_formula_sum 'Tl4 Ge4 H4'
_cell_length_a 8.783
_cell_length_b 4.184
_cell_length_c 7.153
_cell_angle_alpha 90.00
_cell_angle_beta 90.00
_cell_angle_gamma 90.00
_symmetry_space_group_name_H-M 'P 1'
_symmetry_Int_Tables_number 1
loop_
_symmetry_equiv_pos_as_xyz
'x,y,z'
loop_
_atom_site_label
_atom_site_type_symbol
_atom_site_fract_x
_atom_site_fract_y
_atom_site_fract_z
H1 H 0.434 0.250 0.753
H2 H 0.066 0.750 0.253
H3 H 0.934 0.250 0.747
H4 H 0.566 0.750 0.247
Ge1 Ge 0.583 0.750 0.472
Ge2 Ge 0.917 0.250 0.972
Ge3 Ge 0.417 0.250 0.528
Ge4 Ge 0.083 0.750 0.028
Tl1 Tl 0.340 0.250 0.077
Tl2 Tl 0.660 0.750 0.923
Tl3 Tl 0.840 0.250 0.423
Tl4 Tl 0.160 0.750 0.577
# Relative energy among the computed polymorphs = 0.0000 eV per atom
# Calculated volume = 262.8 Å³ per cell